Entry a
Here is BaMgF2 at its PBEsol-relaxed geometry from Alexandria. Energies are from meta-GGA SCAN.

The structure in POSCAR format:
```
BaMgF2
1.0
-0.898 1.625 -2.975
-3.338 0.915 -0.559
-0.192 7.194 1.921
Ba F Mg
1 2 1
Direct
0.000 0.000 0.000
0.129 0.129 0.612
0.871 0.871 0.388
0.500 0.500 0.500
```

Summary:
Symmetry: R-3m (166)
D(E_F), states/eV per cell: 1.16
Calculated density, g cm⁻³: 4.34

***

Entry b
Here is BaMgF2 at its PBEsol-relaxed geometry from Alexandria. Energies are from meta-GGA SCAN.

The structure in POSCAR format:
```
BaMgF2
1.0
5.474 0.000 0.000
0.000 5.474 0.000
-2.737 -2.737 5.738
Ba Mg F
2 2 4
Direct
0.250 0.750 0.500
0.000 0.000 0.000
0.750 0.250 0.500
0.500 0.500 0.000
0.625 0.488 0.750
0.738 0.375 0.250
0.125 0.262 0.750
0.512 0.875 0.250
```

Summary:
Symmetry: I-42d (122)
D(E_F), states/eV per cell: 2.78
Calculated density, g cm⁻³: 3.86

***

Of them, the most stable is entry a and the least stable is entry b.

***

Entry a
Here is BaSrNF2 at its PBEsol-relaxed geometry from Alexandria. Energies are from meta-GGA SCAN.

The structure in POSCAR format:
```
BaSrNF2
1.0
-4.304 -0.644 0.368
0.697 -2.769 3.305
-0.664 8.657 7.393
F N Sr Ba
2 1 1 1
Direct
0.000 0.500 0.000
0.500 0.000 0.000
0.500 0.500 0.500
0.000 0.000 0.000
0.000 0.000 0.500
```

Summary:
Symmetry: P4/mmm (123)
D(E_F), states/eV per cell: 1.07
Calculated density, g cm⁻³: 2.11

***

Entry b
Here is BaSrNF2 at its PBEsol-relaxed geometry from Alexandria. Energies are from meta-GGA SCAN.

The structure in POSCAR format:
```
BaSrNF2
1.0
4.554 0.000 0.000
0.000 4.554 0.000
0.000 0.000 4.882
F Sr Ba N
2 1 1 1
Direct
0.000 0.500 0.000
0.500 0.000 0.000
0.000 0.000 0.000
0.500 0.500 0.500
0.000 0.000 0.500
```

Summary:
Symmetry: P4/mmm (123)
D(E_F), states/eV per cell: 1.45
Calculated density, g cm⁻³: 4.54

***

Of them, the most stable is entry b and the least stable is entry a.

***

Entry a
Here is BaTiNF2 at its PBEsol-relaxed geometry from Alexandria. Energies are from meta-GGA SCAN.

The structure in POSCAR format:
```
BaTiNF2
1.0
-1.666 -0.677 -3.580
3.644 -1.566 -1.400
-1.163 -3.839 1.268
Ti F N Ba
1 2 1 1
Direct
0.000 0.000 0.000
0.000 0.000 0.500
0.000 0.500 0.000
0.500 0.000 0.000
0.500 0.500 0.500
```

Summary:
Symmetry: P4/mmm (123)
D(E_F), states/eV per cell: 0.46
Calculated density, g cm⁻³: 5.56

***

Entry b
Here is BaTiNF2 at its PBEsol-relaxed geometry from Alexandria. Energies are from meta-GGA SCAN.

The structure in POSCAR format:
```
BaTiNF2
1.0
4.765 0.000 0.000
0.000 4.765 0.000
0.000 0.000 4.891
Ba Ti F N
1 1 2 1
Direct
0.000 0.000 0.000
0.500 0.500 0.500
0.500 0.000 0.000
0.000 0.500 0.000
0.000 0.000 0.500
```

Summary:
Symmetry: P4/mmm (123)
D(E_F), states/eV per cell: 0.58
Calculated density, g cm⁻³: 3.55

***

Of them, the most stable is entry a and the least stable is entry b.

***

Entry a
Here is BaTlN2F at its PBEsol-relaxed geometry from Alexandria. Energies are from meta-GGA SCAN.

The structure in POSCAR format:
```
BaTlN2F
1.0
-3.624 -1.893 1.107
2.053 -2.175 3.000
-0.869 3.490 3.125
Tl Ba N F
1 1 2 1
Direct
0.000 0.000 0.000
0.500 0.500 0.500
0.000 0.500 0.000
0.500 0.000 0.000
0.000 0.000 0.500
```

Summary:
Symmetry: P4/mmm (123)
D(E_F), states/eV per cell: 1.24
Calculated density, g cm⁻³: 7.55

***

Entry b
Here is BaTlN2F at its PBEsol-relaxed geometry from Alexandria. Energies are from meta-GGA SCAN.

The structure in POSCAR format:
```
BaTlN2F
1.0
4.883 0.000 0.000
0.000 5.223 0.000
0.000 0.000 5.223
Ba N Tl F
1 2 1 1
Direct
0.000 0.000 0.000
0.000 0.000 0.500
0.000 0.500 0.000
0.500 0.500 0.500
0.500 0.000 0.000
```

Summary:
Symmetry: P4/mmm (123)
D(E_F), states/eV per cell: 2.00
Calculated density, g cm⁻³: 4.85

***

Of them, the most stable is entry a and the least stable is entry b.

***

Entry a
Here is BaZnOF2 at its PBEsol-relaxed geometry from Alexandria. Energies are from meta-GGA SCAN.

The structure in POSCAR format:
```
BaZnOF2
1.0
3.910 0.000 0.000
0.000 4.210 0.000
0.000 0.000 4.210
F O Zn Ba
2 1 1 1
Direct
0.000 0.000 0.500
0.000 0.500 0.000
0.500 0.000 0.000
0.000 0.000 0.000
0.500 0.500 0.500
```

Summary:
Symmetry: P4/mmm (123)
D(E_F), states/eV per cell: 0.00
Calculated density, g cm⁻³: 6.15

***

Entry b
Here is BaZnOF2 at its PBEsol-relaxed geometry from Alexandria. Energies are from meta-GGA SCAN.

The structure in POSCAR format:
```
BaZnOF2
1.0
4.919 0.000 0.000
0.000 4.919 0.000
0.000 0.000 5.028
F Ba O Zn
2 1 1 1
Direct
0.000 0.500 0.000
0.500 0.000 0.000
0.000 0.000 0.000
0.000 0.000 0.500
0.500 0.500 0.500
```

Summary:
Symmetry: P4/mmm (123)
D(E_F), states/eV per cell: 1.22
Calculated density, g cm⁻³: 3.50

***

Of them, the most stable is entry a and the least stable is entry b.

***

Entry a
Here is RbBaF2 at its PBEsol-relaxed geometry from Alexandria. Energies are from meta-GGA SCAN.

The structure in POSCAR format:
```
RbBaF2
1.0
4.347 0.000 0.000
2.173 3.764 0.000
2.173 1.255 7.454
Rb Ba F
1 1 2
Direct
0.000 0.000 0.000
0.500 0.500 0.500
0.126 0.126 0.621
0.874 0.874 0.379
```

Summary:
Symmetry: R-3m (166)
D(E_F), states/eV per cell: 0.87
Calculated density, g cm⁻³: 3.55

***

Entry b
Here is RbBaF2 at its PBEsol-relaxed geometry from Alexandria. Energies are from meta-GGA SCAN.

The structure in POSCAR format:
```
RbBaF2
1.0
6.420 0.000 0.000
0.000 6.420 0.000
-3.210 -3.210 6.449
Rb Ba F
2 2 4
Direct
0.750 0.250 0.500
0.500 0.500 0.000
0.000 0.000 0.000
0.250 0.750 0.500
0.625 0.700 0.750
0.950 0.375 0.250
0.125 0.050 0.750
0.300 0.875 0.250
```

Summary:
Symmetry: I-42d (122)
D(E_F), states/eV per cell: 2.57
Calculated density, g cm⁻³: 3.26

***

Of them, the most stable is entry a and the least stable is entry b.

***

Entry a
Here is BaRhF3 at its PBEsol-relaxed geometry from Alexandria. Energies are from meta-GGA SCAN.

The structure in POSCAR format:
```
BaRhF3
1.0
-0.190 2.134 -4.498
3.785 -2.861 -1.518
-3.233 -3.476 -1.512
Ba Rh F
1 1 3
Direct
0.000 0.000 0.000
0.500 0.500 0.500
0.000 0.000 0.500
0.500 0.000 0.000
0.000 0.500 0.000
```

Summary:
Symmetry: Pm-3m (221)
Calculated density, g cm⁻³: 3.99

***

Entry b
Here is BaRhF3 at its PBEsol-relaxed geometry from Alexandria. Energies are from meta-GGA SCAN.

The structure in POSCAR format:
```
BaRhF3
1.0
-3.937 1.569 0.857
-1.272 -1.003 -4.009
-1.256 -3.902 1.375
Rh F Ba
1 3 1
Direct
0.000 0.000 0.000
0.000 0.500 0.000
0.500 0.000 0.000
0.000 0.000 0.500
0.500 0.500 0.500
```

Summary:
Symmetry: Pm-3m (221)
D(E_F), states/eV per cell: 1.50
Calculated density, g cm⁻³: 6.11

***

Of them, the most stable is entry b and the least stable is entry a.

***

Entry a
Here is BaSrF3 at its PBEsol-relaxed geometry from Alexandria. Energies are from meta-GGA SCAN.

The structure in POSCAR format:
```
BaSrF3
1.0
-0.994 4.793 1.209
-4.583 -1.356 1.606
1.851 -0.782 4.624
F Ba Sr
3 1 1
Direct
0.000 0.500 0.500
0.500 0.000 0.500
0.500 0.500 0.000
0.500 0.500 0.500
0.000 0.000 0.000
```

Summary:
Symmetry: Pm-3m (221)
D(E_F), states/eV per cell: 1.21
Calculated density, g cm⁻³: 3.65

***

Entry b
Here is BaSrF3 at its PBEsol-relaxed geometry from Alexandria. Energies are from meta-GGA SCAN.

The structure in POSCAR format:
```
BaSrF3
1.0
-0.071 -3.121 -3.592
4.713 0.447 -0.481
0.653 -3.565 3.084
Ba F Sr
1 3 1
Direct
0.000 0.000 0.000
0.000 0.500 0.500
0.500 0.500 0.000
0.500 0.000 0.500
0.500 0.500 0.500
```

Summary:
Symmetry: Pm-3m (221)
D(E_F), states/eV per cell: 1.81
Calculated density, g cm⁻³: 4.34

***

Of them, the most stable is entry b and the least stable is entry a.

***

Entry a
Here is Ba3Y2F12 at its PBEsol-relaxed geometry from Alexandria. Energies are from meta-GGA SCAN.

The structure in POSCAR format:
```
Ba3Y2F12
1.0
-1.344 -4.184 -3.652
3.008 -6.521 6.365
-8.828 -0.425 3.736
F Ba Y
24 6 4
Direct
0.738 0.719 0.440
0.262 0.560 0.719
0.262 0.281 0.560
0.000 0.199 0.301
0.000 0.801 0.699
0.234 0.500 0.000
0.738 0.560 0.719
0.738 0.940 0.219
0.000 0.699 0.199
0.766 0.500 0.000
0.738 0.281 0.560
0.262 0.781 0.940
0.738 0.219 0.060
0.234 0.000 0.500
0.000 0.301 0.801
0.766 0.000 0.500
0.738 0.440 0.281
0.262 0.940 0.219
0.262 0.219 0.060
0.738 0.781 0.940
0.262 0.440 0.281
0.738 0.060 0.781
0.262 0.060 0.781
0.262 0.719 0.440
0.500 0.179 0.321
0.500 0.821 0.679
0.000 0.000 0.000
0.500 0.679 0.179
0.500 0.321 0.821
0.000 0.500 0.500
0.000 0.634 0.866
0.000 0.134 0.634
0.000 0.866 0.366
0.000 0.366 0.134
```

Summary:
Symmetry: P4/mbm (127)
D(E_F), states/eV per cell: 0.00
Calculated density, g cm⁻³: 5.16

***

Entry b
Here is Ba3Y2F12 at its PBEsol-relaxed geometry from Alexandria. Energies are from meta-GGA SCAN.

The structure in POSCAR format:
```
Ba3Y2F12
1.0
10.811 0.000 0.000
0.000 10.743 0.026
0.000 0.292 9.815
F Ba Y
48 12 8
Direct
0.397 0.863 0.549
0.394 0.105 0.633
0.603 0.137 0.451
0.113 0.322 0.680
0.894 0.395 0.867
0.497 0.354 0.614
0.624 0.487 0.919
0.473 0.892 0.842
0.705 0.524 0.456
0.993 0.149 0.197
0.330 0.416 0.822
0.973 0.608 0.658
0.887 0.678 0.320
0.734 0.822 0.135
0.387 0.822 0.180
0.003 0.854 0.114
0.830 0.084 0.678
0.234 0.678 0.365
0.027 0.392 0.342
0.876 0.987 0.419
0.287 0.214 0.165
0.795 0.024 0.956
0.124 0.013 0.581
0.266 0.178 0.865
0.213 0.714 0.665
0.493 0.351 0.303
0.670 0.584 0.178
0.787 0.286 0.335
0.103 0.363 0.049
0.007 0.851 0.803
0.248 0.236 0.453
0.527 0.108 0.158
0.752 0.764 0.547
0.376 0.513 0.081
0.997 0.146 0.886
0.748 0.264 0.047
0.252 0.736 0.953
0.713 0.786 0.835
0.170 0.916 0.322
0.106 0.605 0.133
0.606 0.895 0.367
0.897 0.637 0.951
0.507 0.649 0.697
0.766 0.322 0.635
0.205 0.976 0.044
0.503 0.646 0.386
0.613 0.178 0.820
0.295 0.476 0.544
0.619 0.962 0.651
0.492 0.307 0.013
0.753 0.564 0.720
0.008 0.807 0.513
0.253 0.936 0.780
0.747 0.064 0.220
0.508 0.693 0.987
0.381 0.038 0.349
0.992 0.193 0.487
0.247 0.436 0.280
0.119 0.538 0.849
0.881 0.462 0.151
0.870 0.835 0.957
0.193 0.786 0.161
0.307 0.286 0.661
0.630 0.335 0.457
0.130 0.165 0.043
0.370 0.665 0.543
0.693 0.714 0.339
0.807 0.214 0.839
```

Summary:
Symmetry: P2_1/c (14)
D(E_F), states/eV per cell: 0.00
Calculated density, g cm⁻³: 4.77

***

Of them, the most stable is entry a and the least stable is entry b.

***

Entry a
Here is BaLi2Fe at its PBEsol-relaxed geometry from Alexandria. Energies are from meta-GGA SCAN.

The structure in POSCAR format:
```
BaLi2Fe
1.0
-0.547 3.506 -0.186
-2.311 -0.553 -3.645
-5.084 -2.386 3.586
Ba Fe Li
1 1 2
Direct
0.471 0.000 0.562
0.088 0.500 0.797
0.196 0.000 0.023
0.746 0.500 0.119
```

Summary:
Symmetry: Pm (6)
D(E_F), states/eV per cell: 2.84
Calculated density, g cm⁻³: 3.46

***

Entry b
Here is BaLi2Fe at its PBEsol-relaxed geometry from Alexandria. Energies are from meta-GGA SCAN.

The structure in POSCAR format:
```
BaLi2Fe
1.0
4.367 0.000 0.000
0.000 4.367 0.000
0.000 0.000 5.183
Fe Li Ba
1 2 1
Direct
0.000 0.000 0.500
0.500 0.000 0.000
0.000 0.500 0.000
0.500 0.500 0.500
```

Summary:
Symmetry: P4/mmm (123)
D(E_F), states/eV per cell: 2.60
Calculated density, g cm⁻³: 3.48

***

Of them, the most stable is entry a and the least stable is entry b.

***

Entry a
Here is BaLiFe2 at its PBEsol-relaxed geometry from Alexandria. Energies are from meta-GGA SCAN.

The structure in POSCAR format:
```
BaLiFe2
1.0
4.738 0.000 0.000
2.369 4.103 0.000
2.369 1.368 3.869
Ba Li Fe
1 1 2
Direct
0.250 0.250 0.250
0.500 0.500 0.500
0.750 0.750 0.750
0.000 0.000 0.000
```

Summary:
Symmetry: F-43m (216)
D(E_F), states/eV per cell: 1.81
Calculated density, g cm⁻³: 5.65

***

Entry b
Here is BaLiFe2 at its PBEsol-relaxed geometry from Alexandria. Energies are from meta-GGA SCAN.

The structure in POSCAR format:
```
BaLiFe2
1.0
-0.291 3.005 0.549
0.022 -0.784 4.299
6.309 -0.585 -0.139
Fe Li Ba
2 1 1
Direct
0.283 0.000 0.137
0.717 0.000 0.863
0.500 0.500 0.000
0.000 0.500 0.500
```

Summary:
Symmetry: P2/m (10)
D(E_F), states/eV per cell: 3.64
Calculated density, g cm⁻³: 5.09

***

Of them, the most stable is entry b and the least stable is entry a.

***

Entry a
Here is BaMn2Fe at its PBEsol-relaxed geometry from Alexandria. Energies are from meta-GGA SCAN.

The structure in POSCAR format:
```
BaMn2Fe
1.0
-0.770 2.151 1.971
-2.581 0.448 -1.498
-3.440 -5.228 4.361
Ba Mn Fe
1 2 1
Direct
0.000 0.000 0.510
0.500 0.500 0.159
0.000 0.000 0.992
0.500 0.500 0.839
```

Summary:
Symmetry: P4mm (99)
D(E_F), states/eV per cell: 2.54
Calculated density, g cm⁻³: 7.24

***

Entry b
Here is BaMn2Fe at its PBEsol-relaxed geometry from Alexandria. Energies are from meta-GGA SCAN.

The structure in POSCAR format:
```
BaMn2Fe
1.0
-1.057 -2.794 0.900
2.067 -0.030 2.336
-4.825 3.214 4.310
Mn Ba Fe
2 1 1
Direct
0.000 0.000 0.637
0.000 0.000 0.363
0.500 0.500 0.000
0.500 0.500 0.500
```

Summary:
Symmetry: P4/mmm (123)
D(E_F), states/eV per cell: 4.12
Calculated density, g cm⁻³: 7.16

***

Of them, the most stable is entry a and the least stable is entry b.